The following is a PBE calculation of a relaxed Ba2Y2Ir crystal, from the Alexandria database.

Computed properties:
energy above the most stable polymorph in this dataset	0.000	eV per atom
space-group type	P4/mbm
E_tot	-51.7	eV per cell
energy of formation	-0.046	eV/atom
density of states at the Fermi level	14.0	states/eV/cell

Cell lengths 7.388, 7.388, 6.559 Å; angles 90.00, 90.00, 90.00 degrees
Atoms (fractional coordinates):
Ba 0.181 0.319 0.000
Ba 0.319 0.819 0.000
Ba 0.681 0.181 0.000
Ba 0.819 0.681 0.000
Y 0.172 0.672 0.500
Y 0.328 0.172 0.500
Y 0.672 0.828 0.500
Y 0.828 0.328 0.500
Ir 0.000 0.000 0.500
Ir 0.500 0.500 0.500


The following is a PBE calculation of a relaxed PaNiPt5 crystal, from the Alexandria database.

Computed properties:
space-group type	P4/mmm
E_tot	-48.7	eV per cell
energy of formation	-0.460	eV/atom
density of states at the Fermi level	9.3	states/eV/cell

Cell lengths 4.178, 4.178, 6.988 Å; angles 90.00, 90.00, 90.00 degrees
Atoms (fractional coordinates):
Pa 0.000 0.000 0.000
Ni 0.000 0.000 0.500
Pt 0.000 0.500 0.287
Pt 0.000 0.500 0.713
Pt 0.500 0.000 0.287
Pt 0.500 0.000 0.713
Pt 0.500 0.500 0.000


The following is a PBE calculation of a relaxed DyHo2Tl crystal, from the Alexandria database.

Computed properties:
energy above the most stable polymorph in this dataset	0.171	eV per atom
space-group type	Fm-3m
E_tot	-16.2	eV per cell
energy of formation	-0.013	eV/atom
density of states at the Fermi level	5.5	states/eV/cell

Cell lengths 5.447, 5.447, 5.447 Å; angles 60.00, 60.00, 60.00 degrees
Atoms (fractional coordinates):
Dy 0.000 0.000 0.000
Ho 0.250 0.250 0.250
Ho 0.750 0.750 0.750
Tl 0.500 0.500 0.500